NiSeBr2: relaxed, GGA-PBE.

Structure (extended XYZ):
```
4
Lattice="0.000 3.457 3.457 3.457 0.000 3.457 3.457 3.457 0.000" Properties=species:S:1:pos:R:3 pbc="T T T"
Ni 0.000 0.000 0.000
Se 5.185 5.185 5.185
Br 1.728 1.728 1.728
Br 3.457 3.457 3.457
```

Properties
Uncorrected formation energy = 3.14 eV/f.u.
Mass density = 6.0 g cm⁻³


NiSeBr2: relaxed, GGA-PBE.

Structure (extended XYZ):
```
4
Lattice="1.861 1.074 8.024 -1.861 1.074 8.024 0.000 -2.148 8.024" Properties=species:S:1:pos:R:3 pbc="T T T"
Ni 0.000 0.000 0.000
Se 0.000 0.000 12.037
Br 0.000 0.000 9.415
Br 0.000 0.000 14.658
```

Properties
Uncorrected formation energy = 0.60 eV/f.u.
Mass density = 5.1 g cm⁻³